[1]
First-principles (PBE) data for CdReP after structural relaxation, as listed in Alexandria via LeMat-Bulk.

a b c (Å): 5.520 5.520 5.520
angles (deg): 147.11 147.11 47.20
Fractional positions:
1 Cd 0.000 0.000 0.000
2 Re 0.297 0.297 0.000
3 P 0.701 0.701 0.000

Results
The volume is 16.47 Å³/atom. The calculation puts the total magnetization at 0.0 μB per cell. The energy of formation from the pure elements is 7 kJ per mole of atoms. The distance to the lowest polymorph of the same formula comes out at 96 meV per atom. The value obtained for the density of states at the Fermi level is 0.9 states/eV/f.u.

[2]
First-principles (PBE) data for CaLa2Au after structural relaxation, as listed in Alexandria via LeMat-Bulk.

a b c (Å): 7.033 7.033 7.033
angles (deg): 149.40 133.42 56.77
Fractional positions:
1 Ca 0.000 0.000 0.000
2 La 0.297 0.797 0.500
3 La 0.703 0.203 0.500
4 Au 0.500 0.500 0.000

Results
The volume is 31.93 Å³/atom. The calculation puts the total magnetization at 0.0 μB per cell. The energy of formation from the pure elements is -34 kJ per mole of atoms. The distance to the lowest polymorph of the same formula comes out at 27 meV per atom. The value obtained for the density of states at the Fermi level is 5.7 states/eV/f.u.

[3]
First-principles (PBE) data for Ac2InAu after structural relaxation, as listed in Alexandria via LeMat-Bulk.

a b c (Å): 3.942 3.942 8.284
angles (deg): 90.00 90.00 90.00
Fractional positions:
1 Ac 0.000 0.000 0.231
2 Ac 0.000 0.000 0.769
3 In 0.500 0.500 0.500
4 Au 0.500 0.500 0.000

Results
The volume is 32.17 Å³/atom. The calculation puts the total magnetization at 0.0 μB per cell. The energy of formation from the pure elements is -57 kJ per mole of atoms. The value obtained for the density of states at the Fermi level is 4.2 states/eV/f.u.

[4]
First-principles (PBE) data for Na3LiSn after structural relaxation, as listed in Alexandria via LeMat-Bulk.

a b c (Å): 5.917 5.917 5.917
angles (deg): 90.00 90.00 90.00
Fractional positions:
1 Na 0.000 0.000 0.500
2 Na 0.000 0.500 0.000
3 Na 0.500 0.000 0.000
4 Li 0.500 0.500 0.500
5 Sn 0.000 0.000 0.000

Results
The volume is 41.43 Å³/atom. The calculation puts the total magnetization at 0.0 μB per cell. The energy of formation from the pure elements is 16 kJ per mole of atoms. The distance to the lowest polymorph of the same formula comes out at 324 meV per atom. The value obtained for the density of states at the Fermi level is 2.7 states/eV/f.u.